1.
Here is an optimized crystal structure of CaCr2Ni from Alexandria. Energies are from PBE-GGA.

Summary:
Energy: -50.053 eV/cell
Energy above the most stable polymorph in this dataset: 140.5 meV/atom
Total moment: 0.014 μB per atom
ρ: 5.006 g cm⁻³

```
8
Lattice="4.518 0.000 0.000 0.000 4.526 0.000 0.000 0.000 6.577" Properties=species:S:1:pos:R:3 pbc="T T T"
Ca 0.000 0.000 0.000
Ca 2.259 2.263 3.289
Cr 0.000 0.000 3.290
Cr 0.000 2.263 4.936
Cr 2.259 0.000 1.648
Cr 2.259 2.263 0.001
Ni 0.000 2.263 1.641
Ni 2.259 0.000 4.930
```

---

2.
Here is an optimized crystal structure of Ca4CrNi from Alexandria. Energies are from PBE-GGA.

Summary:
Energy: -17.679 eV/cell
Total moment: 0.902 μB per atom
ρ: 2.392 g cm⁻³

```
6
Lattice="0.000 4.548 4.548 4.548 0.000 4.548 4.548 4.548 0.000" Properties=species:S:1:pos:R:3 pbc="T T T"
Ca 1.140 1.140 1.140
Ca 3.408 3.408 1.140
Ca 3.408 1.140 3.408
Ca 1.140 3.408 3.408
Cr 6.822 6.822 6.822
Ni 4.548 4.548 4.548
```

---

3.
Here is an optimized crystal structure of Ca3CrNi from Alexandria. Energies are from PBE-GGA.

Summary:
Energy: -19.651 eV/cell
Energy above the most stable polymorph in this dataset: 0.0 meV/atom
Total moment: 0.985 μB per atom
ρ: 2.471 g cm⁻³

```
5
Lattice="5.374 0.000 0.000 0.000 5.374 0.000 0.000 0.000 5.374" Properties=species:S:1:pos:R:3 pbc="T T T"
Ca 0.000 0.000 2.687
Ca 0.000 2.687 0.000
Ca 2.687 0.000 0.000
Cr 2.687 2.687 2.687
Ni 0.000 0.000 0.000
```

---

4.
Here is an optimized crystal structure of Ca2CrNi from Alexandria. Energies are from PBE-GGA.

Summary:
Energy: -18.253 eV/cell
Energy above the most stable polymorph in this dataset: 43.4 meV/atom
Total moment: 0.935 μB per atom
ρ: 3.340 g cm⁻³

```
4
Lattice="3.375 0.000 0.000 0.000 3.375 0.000 0.000 0.000 8.332" Properties=species:S:1:pos:R:3 pbc="T T T"
Ca 0.000 0.000 0.000
Ca 1.687 1.687 3.266
Cr 0.000 0.000 5.441
Ni 1.687 1.687 6.269
```

---

5.
Here is an optimized crystal structure of CaCrNi2 from Alexandria. Energies are from PBE-GGA.

Summary:
Energy: -85.254 eV/cell
Energy above the most stable polymorph in this dataset: 363.7 meV/atom
Total moment: 1.089 μB per atom
ρ: 5.520 g cm⁻³

```
16
Lattice="6.317 0.000 0.000 0.000 6.317 0.000 0.000 0.000 6.317" Properties=species:S:1:pos:R:3 pbc="T T T"
Ca 0.000 0.000 0.000
Ca 0.000 3.158 3.158
Ca 3.158 0.000 3.158
Ca 3.158 3.158 0.000
Cr 1.579 1.579 1.579
Cr 1.579 4.738 4.738
Cr 4.738 1.579 4.738
Cr 4.738 4.738 1.579
Ni 0.000 0.000 3.158
Ni 0.000 3.158 0.000
Ni 1.579 1.579 4.738
Ni 1.579 4.738 1.579
Ni 3.158 0.000 0.000
Ni 3.158 3.158 3.158
Ni 4.738 1.579 1.579
Ni 4.738 4.738 4.738
```

---

6.
Here is an optimized crystal structure of CaCr2Ni from Alexandria. Energies are from PBE-GGA.

Summary:
Energy: -23.984 eV/cell
Energy above the most stable polymorph in this dataset: 401.1 meV/atom
Total moment: 0.417 μB per atom
ρ: 5.770 g cm⁻³

```
4
Lattice="2.597 0.000 0.000 0.000 2.597 0.000 0.000 0.000 8.652" Properties=species:S:1:pos:R:3 pbc="T T T"
Ca 0.000 0.000 0.000
Cr 1.298 1.298 2.583
Cr 1.298 1.298 6.070
Ni 0.000 0.000 4.326
```

---

Q: Which of these has the highest total moment?
A: CaCrNi2

---

Q: Among the records above, which one has the lowest ρ?
A: Ca4CrNi

---

Please write out number 1 again, unchanged.
Here is an optimized crystal structure of CaCr2Ni from Alexandria. Energies are from PBE-GGA.

Summary:
Energy: -50.053 eV/cell
Energy above the most stable polymorph in this dataset: 140.5 meV/atom
Total moment: 0.014 μB per atom
ρ: 5.006 g cm⁻³

```
8
Lattice="4.518 0.000 0.000 0.000 4.526 0.000 0.000 0.000 6.577" Properties=species:S:1:pos:R:3 pbc="T T T"
Ca 0.000 0.000 0.000
Ca 2.259 2.263 3.289
Cr 0.000 0.000 3.290
Cr 0.000 2.263 4.936
Cr 2.259 0.000 1.648
Cr 2.259 2.263 0.001
Ni 0.000 2.263 1.641
Ni 2.259 0.000 4.930
```